Record 1
DFT (GGA-PBE) results for CaAl3 after structural relaxation.

Summary:
Volume: 87.48 Å³/cell
Crystal system: orthorhombic
Energy relative to the elements: -0.1 eV per formula unit

a b c (Å): 3.356 4.495 5.799
angles (deg): 90.00 90.00 90.00
Fractional coordinates of all 4 atoms:
1 Al 0.000 0.000 0.945
2 Al 0.500 0.000 0.559
3 Al 0.500 0.500 0.834
4 Ca 0.000 0.500 0.328

Record 2
DFT (GGA-PBE) results for Ca2Al3 after structural relaxation.

Summary:
Volume: 489.69 Å³/cell
Crystal system: orthorhombic
Energy relative to the elements: -1.0 eV per formula unit

a b c (Å): 6.407 7.516 10.169
angles (deg): 90.00 90.00 90.00
Fractional coordinates of all 20 atoms:
1 Al 0.000 0.149 0.250
2 Al 0.500 0.351 0.750
3 Al 0.500 0.649 0.250
4 Al 0.148 0.528 0.657
5 Al 0.352 0.028 0.657
6 Al 0.148 0.472 0.157
7 Al 0.852 0.528 0.843
8 Al 0.648 0.972 0.343
9 Al 0.000 0.851 0.750
10 Al 0.648 0.028 0.843
11 Al 0.352 0.972 0.157
12 Al 0.852 0.472 0.343
13 Ca 0.369 0.310 0.420
14 Ca 0.131 0.190 0.920
15 Ca 0.631 0.690 0.580
16 Ca 0.869 0.190 0.580
17 Ca 0.369 0.690 0.920
18 Ca 0.631 0.310 0.080
19 Ca 0.131 0.810 0.420
20 Ca 0.869 0.810 0.080

Record 3
DFT (GGA-PBE) results for Ca3Al4 after structural relaxation.

Summary:
Volume: 174.61 Å³/cell
Crystal system: tetragonal
Excess energy over the best structure of this formula in the dataset: 0 meV/atom
Energy relative to the elements: -0.7 eV per formula unit

a b c (Å): 14.799 14.799 14.799
angles (deg): 166.58 166.58 19.02
Fractional coordinates of all 7 atoms:
1 Al 0.878 0.878 0.000
2 Al 0.576 0.576 0.000
3 Al 0.424 0.424 0.000
4 Al 0.122 0.122 0.000
5 Ca 0.305 0.305 0.000
6 Ca 0.695 0.695 0.000
7 Ca 0.000 0.000 0.000

Record 4
DFT (GGA-PBE) results for Ca3Al after structural relaxation.

Summary:
Volume: 557.56 Å³/cell
Crystal system: orthorhombic
Energy relative to the elements: -0.4 eV per formula unit

a b c (Å): 6.425 8.821 9.837
angles (deg): 90.00 90.00 90.00
Fractional coordinates of all 16 atoms:
1 Ca 0.628 0.171 0.939
2 Ca 0.128 0.329 0.061
3 Ca 0.600 0.470 0.250
4 Ca 0.400 0.530 0.750
5 Ca 0.128 0.329 0.439
6 Ca 0.100 0.030 0.750
7 Ca 0.872 0.671 0.561
8 Ca 0.900 0.970 0.250
9 Ca 0.372 0.829 0.061
10 Ca 0.872 0.671 0.939
11 Ca 0.628 0.171 0.561
12 Ca 0.372 0.829 0.439
13 Al 0.560 0.876 0.750
14 Al 0.060 0.624 0.250
15 Al 0.440 0.124 0.250
16 Al 0.940 0.376 0.750

Record 5
DFT (GGA-PBE) results for CaAl4 after structural relaxation.

Summary:
Volume: 174.19 Å³/cell
Crystal system: cubic
Energy relative to the elements: 6.5 eV per formula unit

a b c (Å): 5.585 5.585 5.585
angles (deg): 90.00 90.00 90.00
Fractional coordinates of all 5 atoms:
1 Al 0.500 0.000 0.500
2 Al 0.500 0.500 0.000
3 Al 0.000 0.500 0.500
4 Al 0.000 0.000 0.000
5 Ca 0.500 0.500 0.500

Record 6
DFT (GGA-PBE) results for CaAl4 after structural relaxation.

Summary:
Volume: 106.15 Å³/cell
Crystal system: monoclinic
Energy relative to the elements: -1.0 eV per formula unit

a b c (Å): 4.345 4.345 6.412
angles (deg): 70.13 70.13 89.93
Fractional coordinates of all 5 atoms:
1 Al 0.252 0.748 0.500
2 Al 0.748 0.252 0.500
3 Al 0.615 0.615 0.772
4 Al 0.385 0.385 0.228
5 Ca 0.000 0.000 0.000

Record 7
DFT (GGA-PBE) results for CaAl8 after structural relaxation.

Summary:
Volume: 166.12 Å³/cell
Crystal system: tetragonal
Energy relative to the elements: -0.2 eV per formula unit

a b c (Å): 6.653 6.653 6.653
angles (deg): 95.61 95.61 143.57
Fractional coordinates of all 9 atoms:
1 Al 0.680 0.320 0.000
2 Al 0.320 0.680 0.000
3 Al 0.345 0.000 0.345
4 Al 0.000 0.655 0.655
5 Al 0.000 0.345 0.345
6 Al 0.680 0.680 0.360
7 Al 0.320 0.320 0.640
8 Al 0.655 0.000 0.655
9 Ca 0.000 0.000 0.000

Record 8
DFT (GGA-PBE) results for CaAl after structural relaxation.

Summary:
Volume: 165.77 Å³/cell
Crystal system: hexagonal
Energy relative to the elements: -0.3 eV per formula unit

a b c (Å): 7.542 7.542 3.365
angles (deg): 90.00 90.00 120.00
Fractional coordinates of all 6 atoms:
1 Ca 0.000 0.574 0.000
2 Ca 0.574 0.000 0.000
3 Ca 0.426 0.426 0.000
4 Al 0.793 0.793 0.500
5 Al 0.000 0.207 0.500
6 Al 0.207 0.000 0.500

Record 9
DFT (GGA-PBE) results for CaAl after structural relaxation.

Summary:
Volume: 220.17 Å³/cell
Crystal system: hexagonal
Energy relative to the elements: 0.3 eV per formula unit

a b c (Å): 5.450 5.450 8.561
angles (deg): 90.00 90.00 120.00
Fractional coordinates of all 8 atoms:
1 Al 0.333 0.667 0.399
2 Al 0.667 0.333 0.601
3 Al 0.667 0.333 0.899
4 Al 0.333 0.667 0.101
5 Ca 0.667 0.333 0.250
6 Ca 0.333 0.667 0.750
7 Ca 0.000 0.000 0.750
8 Ca 0.000 0.000 0.250

Record 10
DFT (GGA-PBE) results for Ca3Al5 after structural relaxation.

Summary:
Volume: 183.20 Å³/cell
Crystal system: orthorhombic
Excess energy over the best structure of this formula in the dataset: 0 meV/atom
Energy relative to the elements: -0.7 eV per formula unit

a b c (Å): 6.360 6.360 4.536
angles (deg): 90.00 90.00 92.90
Fractional coordinates of all 8 atoms:
1 Al 0.500 0.000 0.000
2 Al 0.000 0.000 0.000
3 Al 0.752 0.752 0.500
4 Al 0.000 0.500 0.000
5 Al 0.248 0.248 0.500
6 Ca 0.764 0.236 0.500
7 Ca 0.236 0.764 0.500
8 Ca 0.500 0.500 0.000

Record 11
DFT (GGA-PBE) results for CaAl after structural relaxation.

Summary:
Volume: 122.01 Å³/cell
Crystal system: trigonal
Energy relative to the elements: -0.3 eV per formula unit

a b c (Å): 4.464 4.464 7.525
angles (deg): 72.74 72.74 60.00
Fractional coordinates of all 4 atoms:
1 Al 0.674 0.674 0.979
2 Al 0.326 0.326 0.021
3 Ca 0.095 0.095 0.715
4 Ca 0.905 0.905 0.285

Q: What is the formula in the first record?
A: CaAl3